Entry 1:
Cd2CoNi GGA-PBEsol relaxed; energy relative to the lowest polymorph listed for this composition = 0 meV/atom; N(E_F) = 4.21 states/eV/cell; space group = P4/mmm, No. 123; E_tot = -3.85 eV/atom; ΔH_f (0 K) = 0.222 eV per atom
1.0
-2.009 0.293 -2.304
-1.997 -1.772 1.516
-2.347 4.933 2.675
Cd Ni Co
2 1 1
Cartesian
-0.586 1.231 0.668
-1.761 3.702 2.008
-3.177 1.727 0.944
-2.003 -0.739 -0.394

Entry 2:
Li2AlHg GGA-PBEsol relaxed; N(E_F) = 0.93 states/eV/cell; space group = Fm-3m, No. 225; E_tot = -2.39 eV/atom; ΔH_f (0 K) = -0.246 eV per atom
1.0
-1.035 0.214 -4.361
-2.488 -3.229 -1.877
-4.217 0.867 -1.265
Li Al Hg
2 1 1
Cartesian
-5.805 -1.611 -5.628
-1.935 -0.537 -1.876
0.000 0.000 0.000
-3.870 -1.074 -3.752

Entry 3:
Te2Mo2SeS GGA-PBEsol relaxed; N(E_F) = 1.14 states/eV/cell; space group = P3m1, No. 156; E_tot = -6.98 eV/atom
1.0
-1.320 -3.051 -0.309
1.840 1.281 -2.474
21.995 -10.618 10.859
S Te Mo Se
2 4 4 2
Cartesian
17.834 -8.609 8.805
15.375 -7.422 7.591
12.483 -7.762 5.264
9.405 -6.276 3.744
6.886 -3.324 3.400
3.808 -1.838 1.880
21.759 -10.504 10.742
16.339 -9.623 7.167
5.080 -4.188 1.609
11.211 -5.412 5.535
0.848 -2.145 -0.480
20.142 -11.459 9.045